Material: Be2NbCr2
Method: DFT, PBEsol
State: relaxed

Density: 6382 kg/m³
Energy of formation from the pure elements: -0.05 eV/atom
Size of the total moment: 0.00 μB/cell
Electronic total energy: -7.911 eV/atom
Density of states at the Fermi level: 0.374 states/eV/atom

abc: 3.3046 3.3046 10.2415
angles: 90.00 90.00 90.00
Space group I4/mmm (No. 139)
Asymmetric unit:
Be: 0.0000 0.0000 0.0956 x4
Nb: 0.0000 0.0000 0.5000 x2
Cr: 0.0000 0.5000 0.2500 x4